This record from Alexandria via LeMat-Bulk describes Ta2AlCl after structural relaxation. The functional is PBE.

## Properties
- magnetization (μB per atom) = 0.00
- total energy (eV per cell) = -28.333
- crystal system = tetragonal
- polymorph energy (0 for the lowest one) (eV per atom) = 0.318
- calculated density (g cm⁻³) = 10.18
- raw formation energy (eV/f.u.) = 0.962

The structure in CIF format:
```
data_Ta2AlCl
_space_group_name_H-M_alt 'P 4/m m m'
_space_group_IT_number 123
_space_group_name_Hall '-P 4 2'
_cell_length_a 2.9321
_cell_length_b 2.9321
_cell_length_c 8.0529
_cell_angle_alpha 90.00
_cell_angle_beta 90.00
_cell_angle_gamma 90.00
loop_
_atom_site_label
_atom_site_type_symbol
_atom_site_fract_x
_atom_site_fract_y
_atom_site_fract_z
Ta1 Ta 0.0000 0.0000 0.2335
Al1 Al 0.5000 0.5000 0.0000
Cl1 Cl 0.5000 0.5000 0.5000
```